Material: Hf2CBr2
Method: DFT, PBE-GGA
State: optimized geometry

The space group is R-3m (No. 166, hexagonal axes) and the conventional cell measures 3.4712, 3.4712 and 31.5421 Å, with angles of 90.00, 90.00 and 120.00 degrees. Symmetry generates all atoms from Hf at (0.0000, 0.0000, 0.1302), C at (0.0000, 0.0000, 0.5000) and Br at (0.0000, 0.0000, 0.2647).

For the density of states at the Fermi level, the calculation gives 1.81 states/eV per cell. Its total energy is -0.567 Ry/atom. The total magnetization comes out at 0.00 μB/f.u. For the formation energy (no corrections), the calculation gives -1.213 eV/atom.